Model i:
Below is an optimized crystal structure of Sm2MnCd, with properties calculated at the PBE level.

Cell: 7.4534 7.4534 7.4534 Å, 90.00 90.00 90.00°
Closest atoms and distances in Å follow each position.
Element x y z (fractional)
Sm1 0.2500 0.2500 0.2500  4 Cd 3.23, 4 Mn 3.23
Sm2 0.2500 0.2500 0.7500  4 Cd 3.23, 4 Mn 3.23
Sm3 0.2500 0.7500 0.2500  4 Cd 3.23, 4 Mn 3.23
Sm4 0.2500 0.7500 0.7500  4 Cd 3.23, 4 Mn 3.23
Sm5 0.7500 0.2500 0.2500  4 Cd 3.23, 4 Mn 3.23
Sm6 0.7500 0.2500 0.7500  4 Cd 3.23, 4 Mn 3.23
Sm7 0.7500 0.7500 0.2500  4 Cd 3.23, 4 Mn 3.23
Sm8 0.7500 0.7500 0.7500  4 Cd 3.23, 4 Mn 3.23
Mn1 0.0000 0.0000 0.0000  8 Sm 3.23
Mn2 0.0000 0.5000 0.5000  8 Sm 3.23
Mn3 0.5000 0.0000 0.5000  8 Sm 3.23
Mn4 0.5000 0.5000 0.0000  8 Sm 3.23
Cd1 0.0000 0.0000 0.5000  8 Sm 3.23
Cd2 0.0000 0.5000 0.0000  8 Sm 3.23
Cd3 0.5000 0.0000 0.0000  8 Sm 3.23
Cd4 0.5000 0.5000 0.5000  8 Sm 3.23

=====

Model ii:
Below is an optimized crystal structure of Sm2MnCd, with properties calculated at the PBE level.

Cell: 3.6142 3.6142 7.8617 Å, 90.00 90.00 90.00°
Closest atoms and distances in Å follow each position.
Element x y z (fractional)
Sm1 0.0000 0.0000 0.2284  4 Mn 3.12, 4 Cd 3.33
Sm2 0.0000 0.0000 0.7716  4 Mn 3.12, 4 Cd 3.33
Mn1 0.5000 0.5000 0.0000  8 Sm 3.12
Cd1 0.5000 0.5000 0.5000  8 Sm 3.33, 4 Cd 3.61

=====

Which of them is most stable, and which least? Most stable: model ii; least stable: model i.

=====

Model i:
Below is an optimized crystal structure of SrMn3Cd, with properties calculated at the PBE level.

Cell: 5.2926 5.2926 5.2926 Å, 90.00 90.00 90.00°
Closest atoms and distances in Å follow each position.
Element x y z (fractional)
Sr1 0.0000 0.0000 0.0000  6 Mn 2.65
Mn1 0.0000 0.0000 0.5000  2 Sr 2.65
Mn2 0.0000 0.5000 0.0000  2 Sr 2.65
Mn3 0.5000 0.0000 0.0000  2 Sr 2.65
Cd1 0.5000 0.5000 0.5000  12 Mn 3.74

=====

Model ii:
Below is an optimized crystal structure of SrMn3Cd, with properties calculated at the PBE level.

Cell: 5.1351 5.1351 5.1351 Å, 90.00 90.00 90.00°
Closest atoms and distances in Å follow each position.
Element x y z (fractional)
Sr1 0.0000 0.0000 0.0000  12 Mn 3.63
Mn1 0.0000 0.5000 0.5000  2 Cd 2.57
Mn2 0.5000 0.0000 0.5000  2 Cd 2.57
Mn3 0.5000 0.5000 0.0000  2 Cd 2.57
Cd1 0.5000 0.5000 0.5000  6 Mn 2.57

=====

Which of them is most stable, and which least? Most stable: model ii; least stable: model i.

=====

Model i:
Below is an optimized crystal structure of Ta3MnCd, with properties calculated at the PBE level.

Cell: 4.6238 4.6238 4.6238 Å, 90.00 90.00 90.00°
Closest atoms and distances in Å follow each position.
Element x y z (fractional)
Ta1 0.0000 0.0000 0.5000  2 Mn 2.31
Ta2 0.0000 0.5000 0.0000  2 Mn 2.31
Ta3 0.5000 0.0000 0.0000  2 Mn 2.31
Mn1 0.0000 0.0000 0.0000  6 Ta 2.31
Cd1 0.5000 0.5000 0.5000  12 Ta 3.27

=====

Model ii:
Below is an optimized crystal structure of Ta3MnCd, with properties calculated at the PBE level.

Cell: 4.9087 4.9087 4.9087 Å, 90.00 90.00 90.00°
Closest atoms and distances in Å follow each position.
Element x y z (fractional)
Ta1 0.0000 0.0000 0.5000  2 Cd 2.45
Ta2 0.0000 0.5000 0.0000  2 Cd 2.45
Ta3 0.5000 0.0000 0.0000  2 Cd 2.45
Mn1 0.5000 0.5000 0.5000  12 Ta 3.47
Cd1 0.0000 0.0000 0.0000  6 Ta 2.45

=====

Which of them is most stable, and which least? Most stable: model i; least stable: model ii.

=====

Model i:
Below is an optimized crystal structure of TaMn3Cd, with properties calculated at the PBE level.

Cell: 4.6993 4.6993 4.6993 Å, 90.00 90.00 90.00°
Closest atoms and distances in Å follow each position.
Element x y z (fractional)
Ta1 0.0000 0.0000 0.0000  6 Mn 2.35
Mn1 0.0000 0.0000 0.5000  2 Ta 2.35
Mn2 0.0000 0.5000 0.0000  2 Ta 2.35
Mn3 0.5000 0.0000 0.0000  2 Ta 2.35
Cd1 0.5000 0.5000 0.5000  12 Mn 3.32

=====

Model ii:
Below is an optimized crystal structure of TaMn3Cd, with properties calculated at the PBE level.

Cell: 4.7781 4.7781 4.7781 Å, 90.00 90.00 90.00°
Closest atoms and distances in Å follow each position.
Element x y z (fractional)
Ta1 0.0000 0.0000 0.0000  12 Mn 3.38
Mn1 0.0000 0.5000 0.5000  2 Cd 2.39
Mn2 0.5000 0.0000 0.5000  2 Cd 2.39
Mn3 0.5000 0.5000 0.0000  2 Cd 2.39
Cd1 0.5000 0.5000 0.5000  6 Mn 2.39

=====

Which of them is most stable, and which least? Most stable: model i; least stable: model ii.

=====

Model i:
Below is an optimized crystal structure of MnCdTe, with properties calculated at the PBE level.

Cell: 5.7269 6.6102 6.8944 Å, 90.00 90.00 90.00°
Closest atoms and distances in Å follow each position.
Element x y z (fractional)
Mn1 0.0000 0.0000 0.0000  4 Te 2.84-2.91, 2 Mn 2.86, 4 Cd 2.87-2.99
Mn2 0.0000 0.5000 0.5000  4 Te 2.84-2.91, 2 Mn 2.86, 4 Cd 2.87-2.99
Mn3 0.5000 0.0000 0.0000  4 Te 2.84-2.91, 2 Mn 2.86, 4 Cd 2.87-2.99
Mn4 0.5000 0.5000 0.5000  4 Te 2.84-2.91, 2 Mn 2.86, 4 Cd 2.87-2.99
Cd1 0.2500 0.1578 0.6500  4 Mn 2.87-2.99, 1 Te 3.14
Cd2 0.2500 0.3422 0.1500  4 Mn 2.87-2.99, 1 Te 3.14
Cd3 0.7500 0.6578 0.1500  4 Mn 2.87-2.99, 1 Te 3.14
Cd4 0.7500 0.8422 0.6500  4 Mn 2.87-2.99, 1 Te 3.14
Te1 0.2500 0.6754 0.8260  4 Mn 2.84-2.91, 1 Cd 3.14
Te2 0.2500 0.8246 0.3260  4 Mn 2.84-2.91, 1 Cd 3.14
Te3 0.7500 0.1754 0.3260  4 Mn 2.84-2.91, 1 Cd 3.14
Te4 0.7500 0.3246 0.8260  4 Mn 2.84-2.91, 1 Cd 3.14

=====

Model ii:
Below is an optimized crystal structure of MnCdTe, with properties calculated at the PBE level.

Cell: 6.6670 6.6670 6.6670 Å, 90.00 90.00 90.00°
Closest atoms and distances in Å follow each position.
Element x y z (fractional)
Mn1 0.0000 0.0000 0.0000  4 Cd 2.89, 4 Te 2.89
Mn2 0.0000 0.5000 0.5000  4 Cd 2.89, 4 Te 2.89
Mn3 0.5000 0.0000 0.5000  4 Cd 2.89, 4 Te 2.89
Mn4 0.5000 0.5000 0.0000  4 Cd 2.89, 4 Te 2.89
Cd1 0.2500 0.2500 0.7500  4 Mn 2.89
Cd2 0.2500 0.7500 0.2500  4 Mn 2.89
Cd3 0.7500 0.2500 0.2500  4 Mn 2.89
Cd4 0.7500 0.7500 0.7500  4 Mn 2.89
Te1 0.2500 0.2500 0.2500  4 Mn 2.89
Te2 0.2500 0.7500 0.7500  4 Mn 2.89
Te3 0.7500 0.2500 0.7500  4 Mn 2.89
Te4 0.7500 0.7500 0.2500  4 Mn 2.89

=====

Model iii:
Below is an optimized crystal structure of MnCdTe, with properties calculated at the PBE level.

Cell: 3.3789 3.3789 11.9203 Å, 90.00 90.00 90.00°
Closest atoms and distances in Å follow each position.
Element x y z (fractional)
Mn1 0.0000 0.0000 0.0000  4 Te 2.77, 4 Cd 2.98
Mn2 0.5000 0.5000 0.5000  4 Te 2.77, 4 Cd 2.98
Cd1 0.0000 0.0000 0.6496  4 Mn 2.98, 1 Te 3.18
Cd2 0.5000 0.5000 0.1496  4 Mn 2.98, 1 Te 3.18
Te1 0.0000 0.0000 0.3824  4 Mn 2.77
Te2 0.5000 0.5000 0.8824  4 Mn 2.77

=====

Which of them is most stable, and which least? Most stable: model i; least stable: model iii.

=====

Model i:
Below is an optimized crystal structure of Mn2CdTe, with properties calculated at the PBE level.

Cell: 3.8129 4.1013 5.4912 Å, 90.00 110.09 90.00°
Closest atoms and distances in Å follow each position.
Element x y z (fractional)
Mn1 0.0000 0.0000 0.0000  2 Mn 2.76, 3 Te 2.81-3.03, 4 Cd 2.84
Mn2 0.1800 0.5000 0.3592  2 Mn 2.76, 4 Te 2.84, 3 Cd 2.85-3.00
Cd1 0.4565 0.5000 0.9117  7 Mn 2.84-3.00
Te1 0.7271 0.0000 0.4555  7 Mn 2.81-3.03

=====

Model ii:
Below is an optimized crystal structure of Mn2CdTe, with properties calculated at the PBE level.

Cell: 8.4331 3.6311 5.6992 Å, 90.00 105.05 90.00°
Closest atoms and distances in Å follow each position.
Element x y z (fractional)
Mn1 0.2481 0.0000 0.2708  3 Cd 2.74-2.84, 3 Te 2.89-2.93
Mn2 0.2519 0.5000 0.7292  3 Cd 2.74-2.84, 3 Te 2.89-2.93
Mn3 0.7481 0.5000 0.2708  3 Cd 2.74-2.84, 3 Te 2.89-2.93
Mn4 0.7519 0.0000 0.7292  3 Cd 2.74-2.84, 3 Te 2.89-2.93
Cd1 0.0000 0.0000 0.5000  6 Mn 2.74-2.84
Cd2 0.5000 0.5000 0.5000  6 Mn 2.74-2.84
Te1 0.0000 0.5000 0.0000  6 Mn 2.89-2.93
Te2 0.5000 0.0000 0.0000  6 Mn 2.89-2.93

=====

Which of them is most stable, and which least? Most stable: model i; least stable: model ii.